Density functional theory data (SCAN) for a crystal of LaZrAl3 relaxed with PBEsol.

calculated formation energy: 1353 meV/atom

Cell lengths 5.201, 5.201, 5.201 Å; angles 90.00, 90.00, 90.00 degrees
Fractional positions:
La  0.000  0.000  0.000
Zr  0.500  0.500  0.500
Al  0.000  0.000  0.500
Al  0.000  0.500  0.000
Al  0.500  0.000  0.000

Density functional theory data (SCAN) for a crystal of NdTaO4 relaxed with PBEsol.

formation energy (no corrections): -3.50 eV/atom

Cell lengths 5.231, 5.570, 5.411 Å; angles 90.00, 97.02, 90.00 degrees
Fractional positions:
Nd  0.000  0.236  0.250
Nd  0.000  0.764  0.750
Ta  0.500  0.313  0.750
Ta  0.500  0.687  0.250
O  0.255  0.090  0.611
O  0.255  0.910  0.111
O  0.274  0.441  0.991
O  0.274  0.559  0.491
O  0.726  0.441  0.509
O  0.726  0.559  0.009
O  0.745  0.090  0.889
O  0.745  0.910  0.389

Density functional theory data (SCAN) for a crystal of Mo5O12F3 relaxed with PBEsol.

formation energy (no corrections): -2.22 eV/atom

Cell lengths 5.445, 6.610, 8.396 Å; angles 76.11, 71.44, 89.23 degrees
Fractional positions:
Mo  0.000  0.000  0.000
Mo  0.233  0.791  0.603
Mo  0.354  0.584  0.207
Mo  0.646  0.416  0.793
Mo  0.767  0.209  0.397
O  0.078  0.401  0.298
O  0.103  0.901  0.800
O  0.184  0.797  0.101
O  0.298  0.698  0.400
O  0.425  0.606  0.696
O  0.500  0.000  0.500
O  0.500  0.500  0.000
O  0.575  0.394  0.304
O  0.702  0.302  0.600
O  0.816  0.203  0.899
O  0.897  0.099  0.200
O  0.922  0.599  0.702
F  0.000  0.000  0.500
F  0.310  0.197  0.903
F  0.690  0.803  0.097

Number 1: spin magnetization 0.000 μB/atom, energy -1.32727 Ry/atom. Number 2: spin magnetization 0.000 μB/atom, energy -1.91233 Ry/atom. Number 3: spin magnetization 0.000 μB/atom, energy -1.11780 Ry/atom.